Li8FeO5F | GGA+U | relaxed

Properties
The total energy is -5.092 eV/atom. Its magnetic moment is 0.333 μB/atom. The distance to the lowest polymorph of the same formula comes out at 22.5 meV per atom. The value obtained for the density is 2.591 g/cm3.

a b c (Å): 5.385 5.433 5.900
angles (deg): 91.08 115.27 116.57
Each line ends with the local moment (μB).
Positions (direct):
1 Li 0.250 0.477 0.360  0.01
2 Li 0.127 0.232 0.657  0.01
3 Li 0.401 0.896 0.637  0.01
4 Li 0.732 0.356 0.022  0.00
5 Li 0.294 0.671 0.968  0.00
6 Li 0.581 0.094 0.347  0.01
7 Li 0.898 0.794 0.368  0.00
8 Li 0.755 0.513 0.647  0.00
9 Fe 0.932 0.949 0.968  4.27
10 O 0.510 0.601 0.764  0.14
11 O 0.875 0.107 0.243  0.10
12 O 0.161 0.768 0.233  0.09
13 O 0.828 0.220 0.759  0.10
14 O 0.121 0.894 0.754  0.11
15 F 0.535 0.428 0.273  0.01